The following is a DFT calculation (PBE) of a relaxed structure of CoPtPb2.

Values from the calculation:
Total DFT energy (no corrections): -4.770 eV per atom
Magnetic moment: 1.60 μB per formula unit
ρ: 13.26 g/cm3
DOS(E_F): 4.11 states/eV/cell

a = 4.475 Å, b = 3.559 Å, c = 5.633 Å
α = 90.00°, β = 111.10°, γ = 90.00°
Space group P2/m (No. 10)
Inequivalent atoms, fractional coordinates:
Co: 0.000 0.000 0.000 (multiplicity 1)
Pt: 0.500 0.500 0.500 (multiplicity 1)
Pb: 0.000 0.000 0.500 (multiplicity 1)
Pb: 0.500 0.500 0.000 (multiplicity 1)